This record from Alexandria via LeMat-Bulk describes MgIn2Pb at its PBEsol-relaxed geometry. The functional is meta-GGA SCAN.

Structure (POSCAR):
```
MgIn2Pb
1.0
3.346 0.000 0.000
-1.673 5.407 -0.044
0.000 -1.113 5.647
In Pb Mg
2 1 1
Cartesian
0.000 1.811 4.231
1.673 4.272 5.526
1.673 2.466 1.452
1.673 -0.517 2.821
```

Summary:
- DFT formation energy (eV/atom) = -0.035
- raw total energy (eV per atom) = -36.917


This record from Alexandria via LeMat-Bulk describes MgInPb at its PBEsol-relaxed geometry. The functional is meta-GGA SCAN.

Structure (POSCAR):
```
MgInPb
1.0
-0.973 -2.651 1.934
4.184 -1.447 0.121
-0.779 4.786 3.140
Mg In Pb
1 1 1
Cartesian
1.873 -1.162 2.378
0.012 0.039 0.059
0.547 1.811 2.758
```

Summary:
- DFT formation energy (eV/atom) = -0.061
- raw total energy (eV per atom) = -38.108


This record from Alexandria via LeMat-Bulk describes MgIn2Pb at its PBEsol-relaxed geometry. The functional is meta-GGA SCAN.

Structure (POSCAR):
```
MgIn2Pb
1.0
-1.023 1.183 2.868
-2.228 0.220 -2.379
-3.722 -9.538 2.605
Pb In Mg
1 2 1
Cartesian
-1.626 0.701 0.244
-2.737 -7.014 1.915
-0.985 -2.524 0.689
-3.486 -4.068 1.547
```

Summary:
- DFT formation energy (eV/atom) = 0.016
- raw total energy (eV per atom) = -36.866


This record from Alexandria via LeMat-Bulk describes Mg2InPb at its PBEsol-relaxed geometry. The functional is meta-GGA SCAN.

Structure (POSCAR):
```
Mg2InPb
1.0
3.334 0.000 0.000
0.000 5.300 0.019
-1.667 -0.867 5.494
In Pb Mg
1 1 2
Cartesian
1.667 0.746 2.708
1.667 2.774 0.051
1.667 -0.748 5.477
0.000 3.446 2.780
```

Summary:
- DFT formation energy (eV/atom) = -0.130
- raw total energy (eV per atom) = -29.909


This record from Alexandria via LeMat-Bulk describes MgInPd2 at its PBEsol-relaxed geometry. The functional is meta-GGA SCAN.

Structure (POSCAR):
```
MgInPd2
1.0
4.521 0.000 0.000
2.261 3.915 0.000
2.261 1.305 3.692
Pd Mg In
2 1 1
Cartesian
6.782 3.915 2.769
2.261 1.305 0.923
0.000 0.000 0.000
4.521 2.610 1.846
```

Summary:
- DFT formation energy (eV/atom) = -0.707
- raw total energy (eV per atom) = -26.684


This record from Alexandria via LeMat-Bulk describes Pr2MgIn at its PBEsol-relaxed geometry. The functional is meta-GGA SCAN.

Structure (POSCAR):
```
Pr2MgIn
1.0
5.432 0.000 0.000
2.716 4.704 0.000
2.716 1.568 4.435
Pr Mg In
2 1 1
Cartesian
2.716 1.568 1.109
8.148 4.704 3.326
0.000 0.000 0.000
5.432 3.136 2.218
```

Summary:
- DFT formation energy (eV/atom) = -0.427
- raw total energy (eV per atom) = -31.680


This record from Alexandria via LeMat-Bulk describes PrMgIn at its PBEsol-relaxed geometry. The functional is meta-GGA SCAN.

Structure (POSCAR):
```
PrMgIn
1.0
4.733 0.000 0.000
0.000 7.657 0.000
0.000 -3.829 6.632
Mg In Pr
3 3 3
Cartesian
2.367 1.850 0.000
2.367 -0.925 1.602
2.367 2.904 5.030
0.000 0.000 0.000
2.367 0.000 4.421
2.367 3.829 2.211
0.000 1.645 2.850
0.000 4.367 0.000
0.000 -2.183 3.782
```

Summary:
- DFT formation energy (eV/atom) = -0.567
- raw total energy (eV per atom) = -27.795


This record from Alexandria via LeMat-Bulk describes MgInPt2 at its PBEsol-relaxed geometry. The functional is meta-GGA SCAN.

Structure (POSCAR):
```
MgInPt2
1.0
2.957 0.000 0.000
0.000 3.753 0.000
0.000 0.000 5.878
Pt Mg In
2 1 1
Cartesian
0.000 0.000 1.507
0.000 0.000 4.371
1.478 1.876 2.939
1.478 1.876 0.000
```

Summary:
- DFT formation energy (eV/atom) = -0.756
- raw total energy (eV per atom) = -45.442


This record from Alexandria via LeMat-Bulk describes MgInPt2 at its PBEsol-relaxed geometry. The functional is meta-GGA SCAN.

Structure (POSCAR):
```
MgInPt2
1.0
2.944 0.000 0.000
0.000 4.698 0.000
0.000 0.000 4.765
In Pt Mg
1 2 1
Cartesian
1.472 0.000 2.817
0.000 0.000 0.433
0.000 2.349 3.164
1.472 2.349 0.733
```

Summary:
- DFT formation energy (eV/atom) = -0.737
- raw total energy (eV per atom) = -45.424


This record from Alexandria via LeMat-Bulk describes Mg2InPt at its PBEsol-relaxed geometry. The functional is meta-GGA SCAN.

Structure (POSCAR):
```
Mg2InPt
1.0
4.229 0.000 0.000
0.000 4.229 0.000
-2.114 -2.114 3.969
Mg Pt In
2 1 1
Cartesian
2.114 2.114 0.000
2.114 0.000 1.984
0.000 0.000 0.000
0.000 2.114 1.984
```

Summary:
- DFT formation energy (eV/atom) = -0.609
- raw total energy (eV per atom) = -28.991


This record from Alexandria via LeMat-Bulk describes MgIn2Pt at its PBEsol-relaxed geometry. The functional is meta-GGA SCAN.

Structure (POSCAR):
```
MgIn2Pt
1.0
-0.587 -0.562 -2.888
-0.127 -3.448 0.697
-7.520 0.564 1.418
Pt Mg In
1 1 2
Cartesian
-5.897 -1.590 -0.051
-4.121 0.309 0.777
-7.173 0.538 1.353
-2.324 -1.857 -0.725
```

Summary:
- DFT formation energy (eV/atom) = -0.374
- raw total energy (eV per atom) = -35.859


This record from Alexandria via LeMat-Bulk describes MgInPt at its PBEsol-relaxed geometry. The functional is meta-GGA SCAN.

Structure (POSCAR):
```
MgInPt
1.0
-2.068 2.144 0.103
-2.483 -2.243 -3.177
-0.670 -0.862 4.483
Pt In Mg
1 1 1
Cartesian
-1.619 -0.965 1.947
-0.344 0.357 0.017
-3.258 -0.353 -0.555
```

Summary:
- DFT formation energy (eV/atom) = -0.556
- raw total energy (eV per atom) = -36.741